Entry 1:
LaCu2SiNi2, optimized geometry, DFT GGA-PBE; space group = P4/mmm; energy relative to the elements, uncorrected = -0.099 eV per atom; ρ = 6.59 g cm⁻³; M_tot = 0.0000 μB per atom
1.0
4.263 0.000 0.000
0.000 4.263 0.000
0.000 0.000 5.708
La Cu Si Ni
1 2 1 2
Cartesian
0.000 0.000 0.000 La
2.132 2.132 1.380 Cu
2.132 2.132 4.328 Cu
0.000 0.000 2.854 Si
0.000 2.132 2.854 Ni
2.132 0.000 2.854 Ni

=====

Entry 2:
LaSmCuNi, optimized geometry, DFT GGA-PBE; space group = Amm2; ρ = 7.37 g cm⁻³; energy relative to the elements = -1.06 eV/f.u.; M_tot = 0.0000 μB per atom
1.0
4.448 0.000 0.000
0.000 3.837 0.000
0.000 0.000 10.861
La Sm Cu Ni
2 2 2 2
Cartesian
0.000 0.000 0.000 La
0.000 1.918 5.431 La
2.224 0.000 2.974 Sm
2.224 1.918 8.405 Sm
0.000 0.000 7.702 Cu
0.000 1.918 2.271 Cu
2.224 0.000 6.242 Ni
2.224 1.918 0.811 Ni

=====

Entry 3:
La2Cu12Ni3Sn, optimized geometry, DFT GGA-PBE; space group = R-3m; ρ = 7.54 g cm⁻³; energy relative to the elements = 3.43 eV/f.u.; M_tot = 0.0000 μB per atom
1.0
3.092 1.785 8.875
-3.092 1.785 8.875
0.000 -3.570 8.875
La Cu Ni Sn
2 12 3 1
Cartesian
0.000 0.000 3.881 La
0.000 0.000 22.743 La
0.000 -2.189 7.700 Cu
-1.895 1.094 7.700 Cu
-1.354 -0.782 11.279 Cu
-1.895 -1.094 18.925 Cu
0.000 -1.563 15.345 Cu
-1.354 0.782 15.345 Cu
1.354 -0.782 11.279 Cu
0.000 1.564 11.279 Cu
1.895 1.094 7.700 Cu
1.354 0.782 15.345 Cu
1.895 -1.094 18.925 Cu
0.000 2.189 18.925 Cu
-1.546 -0.893 8.875 Ni
-1.546 0.893 17.750 Ni
0.000 1.785 8.875 Ni
0.000 0.000 13.312 Sn